First-principles (GGA-PBEsol) data for a geometry-optimized AlZn2Cl structure, as listed in Alexandria.

Cell lengths 7.5876, 7.5876, 7.5876 Å; angles 25.27, 25.27, 25.27 degrees
Closest atoms and distances in Å follow each position.
Fractional coordinates of all 4 atoms:
Al 0.0000 0.0000 0.0000  6 Zn 2.62
Zn 0.2525 0.2525 0.2525  3 Al 2.62, 3 Cl 2.69
Zn 0.7475 0.7475 0.7475  3 Al 2.62, 3 Cl 2.69
Cl 0.5000 0.5000 0.5000  6 Zn 2.69

Output
* volume: 17.5 A^3/atom
* E above lowest polymorph: 0.10 eV per formula unit
* E_form (uncorrected): -0.105 eV per atom
* theoretical density: 4.6 g cm⁻³
* crystal system: trigonal
* SG: R-3m (166)

First-principles (GGA-PBEsol) data for a geometry-optimized K2ZnCoAu structure, as listed in Alexandria.

Cell lengths 5.8945, 5.8945, 4.7104 Å; angles 90.00, 90.00, 90.00 degrees
Closest atoms and distances in Å follow each position.
Fractional coordinates of all 5 atoms:
K 0.0000 0.5000 0.0000  2 Co 2.95
K 0.5000 0.0000 0.0000  2 Co 2.95
Zn 0.0000 0.0000 0.5000  8 K 3.77, 4 Au 4.17
Co 0.5000 0.5000 0.0000  2 Au 2.36
Au 0.5000 0.5000 0.5000  2 Co 2.36

Output
* volume: 32.7 A^3/atom
* theoretical density: 4.1 g cm⁻³
* crystal system: tetragonal
* SG: P4/mmm (123)
* energy of formation: 340 kJ/mol of formula units

First-principles (GGA-PBEsol) data for a geometry-optimized ZrTaRu2 structure, as listed in Alexandria.

Cell lengths 5.3188, 5.3188, 5.3188 Å; angles 138.51, 138.51, 60.12 degrees
Closest atoms and distances in Å follow each position.
Fractional coordinates of all 4 atoms:
Zr 0.0000 0.0000 0.0000  8 Ru 2.66-2.97, 4 Ta 2.97
Ta 0.2500 0.7500 0.5000  8 Ru 2.66-2.97, 4 Zr 2.97
Ru 0.5000 0.5000 0.0000  4 Zr 2.66, 4 Ru 2.97, 4 Ta 2.97
Ru 0.7500 0.2500 0.5000  4 Ta 2.66, 4 Ru 2.97, 4 Zr 2.97

Output
* volume: 16.3 A^3/atom
* theoretical density: 12.1 g cm⁻³
* crystal system: tetragonal
* SG: I-4m2 (119)
* energy of formation: -61 kJ/mol of formula units

First-principles (GGA-PBEsol) data for a geometry-optimized MnH10SeO9 structure, as listed in Alexandria.

Cell lengths 6.2050, 6.2586, 10.7428 Å; angles 76.17, 82.43, 70.60 degrees
Closest atoms and distances in Å follow each position.
Fractional coordinates of all 42 atoms:
Mn 0.0000 0.0000 0.0000  6 O 2.07-2.21
Mn 0.0000 0.5000 0.5000  6 O 2.10-2.18
H 0.1097 0.3173 0.0941  1 O 1.00
H 0.1320 0.1535 0.7142  1 O 0.98
H 0.1651 0.6302 0.8720  1 O 1.00
H 0.2352 0.7985 0.4987  1 O 1.01
H 0.2571 0.6197 0.6383  1 O 0.99
H 0.2751 0.9226 0.2952  1 O 0.99
H 0.3005 0.1086 0.3672  1 O 1.00
H 0.3497 0.1908 0.8639  1 O 1.00
H 0.3640 0.1543 0.6308  1 O 1.01
H 0.4431 0.9075 0.8890  1 O 1.00
H 0.5569 0.0925 0.1110  1 O 1.00
H 0.6360 0.8457 0.3692  1 O 1.01
H 0.6503 0.8092 0.1361  1 O 1.00
H 0.6995 0.8914 0.6328  1 O 1.00
H 0.7249 0.0774 0.7048  1 O 0.99
H 0.7429 0.3803 0.3617  1 O 0.99
H 0.7648 0.2015 0.5013  1 O 1.01
H 0.8349 0.3698 0.1280  1 O 1.00
H 0.8680 0.8465 0.2858  1 O 0.98
H 0.8903 0.6827 0.9059  1 O 1.00
Se 0.3597 0.5133 0.2113  4 O 1.67-1.68
Se 0.6403 0.4867 0.7887  4 O 1.67-1.68
O 0.0269 0.7290 0.9140  2 H 1.00
O 0.1591 0.6983 0.5643  2 H 0.99-1.01
O 0.1835 0.7854 0.1728  1 Se 1.68
O 0.1939 0.1936 0.6257  2 H 0.98-1.01
O 0.2796 0.3920 0.3592  1 Se 1.68, 1 H 1.72
O 0.3062 0.0466 0.8948  2 H 1.00
O 0.3475 0.9387 0.3679  2 H 0.99-1.00
O 0.3574 0.3532 0.1083  2 H 1.66-1.69, 1 Se 1.67
O 0.3755 0.4700 0.7884  3 H 1.66-1.79, 1 Se 1.68
O 0.6245 0.5300 0.2116  3 H 1.66-1.79, 1 Se 1.68
O 0.6426 0.6468 0.8917  2 H 1.66-1.69, 1 Se 1.67
O 0.6525 0.0613 0.6321  2 H 0.99-1.00
O 0.6938 0.9534 0.1052  2 H 1.00
O 0.7204 0.6080 0.6408  1 Se 1.68, 1 H 1.72
O 0.8061 0.8064 0.3743  2 H 0.98-1.01
O 0.8165 0.2146 0.8272  1 Se 1.68
O 0.8409 0.3017 0.4357  2 H 0.99-1.01
O 0.9731 0.2710 0.0860  2 H 1.00

Output
* volume: 9.1 A^3/atom
* VASP energy: -230.05 eV/cell
* theoretical density: 2.5 g cm⁻³
* crystal system: triclinic
* SG: P-1 (2)

Question: Number 4 is which compound?
Answer: MnH10SeO9

Question: Which of these has the lowest theoretical density?
Answer: MnH10SeO9

Question: What is the formula in the first record?
Answer: AlZn2Cl